The following is a PBE calculation of a relaxed YMgB12 crystal, from Alexandria.

Lattice parameters (Å, degrees): 4.101 4.101 8.234 90.00 90.00 90.00
Atoms (fractional coordinates):
Y 0.000 0.000 0.000
Mg 0.000 0.000 0.500
B 0.200 0.500 0.250
B 0.200 0.500 0.750
B 0.500 0.200 0.250
B 0.500 0.200 0.750
B 0.500 0.500 0.100
B 0.500 0.500 0.400
B 0.500 0.500 0.600
B 0.500 0.500 0.900
B 0.500 0.800 0.250
B 0.500 0.800 0.750
B 0.800 0.500 0.250
B 0.800 0.500 0.750

Calculated values
The value obtained for the density of states at the Fermi level is 0.61 states/eV per cell. As for the electronic total energy: -6.498 eV/atom. As for the total moment: 0.000 μB per atom. The calculation puts the formation energy at -0.199 eV/atom.